(1)
VASP calculation (PBE) on a relaxed TbCeSn crystal.

Unit cell a=4.067 b=4.067 c=9.998 alpha=90.00 beta=90.00 gamma=90.00
Sites, in units of the cell vectors:
Tb  0.250  0.250  0.095
Tb  0.750  0.750  0.905
Ce  0.250  0.250  0.422
Ce  0.750  0.750  0.578
Sn  0.250  0.250  0.752
Sn  0.750  0.750  0.248

As for the spin magnetization: 0.7 μB/f.u. The energy relative to the lowest polymorph listed for this composition is 42.9 kJ/mol of formula units. The energy relative to the elements is -127 kJ/mol of formula units.

(2)
VASP calculation (PBE) on a relaxed Dy2YH crystal.

Unit cell a=3.352 b=3.352 c=8.470 alpha=90.00 beta=90.00 gamma=90.00
Sites, in units of the cell vectors:
Dy  0.000  0.000  0.191
Dy  0.000  0.000  0.809
Y  0.500  0.500  0.500
H  0.500  0.500  0.000

As for the spin magnetization: 0.0 μB/f.u. The energy relative to the lowest polymorph listed for this composition is 116.7 kJ/mol of formula units.